[1]
HfScTeC | GGA-PBE | relaxed

Cell and atoms, written as CIF:
```
data_HfScTeC
_chemical_formula_sum 'Hf2 Sc2 Te2 C2'
_cell_length_a 3.5403
_cell_length_b 3.5403
_cell_length_c 13.2352
_cell_angle_alpha 90.00
_cell_angle_beta 90.00
_cell_angle_gamma 120.00
_space_group_name_H-M_alt 'P -3 m 1'
_space_group_IT_number 164
_space_group_name_Hall '-P 3 2"'
loop_
_atom_site_label
_atom_site_type_symbol
_atom_site_fract_x
_atom_site_fract_y
_atom_site_fract_z
Hf1 Hf 0.3333 0.6667 0.4124
Sc1 Sc 0.3333 0.6667 0.0886
Te1 Te 0.3333 0.6667 0.7461
C1 C 0.0000 0.0000 0.0000
C2 C 0.0000 0.0000 0.5000
```

Properties
Polymorph energy (0 for the lowest one): 0.6 kJ/mol of atoms

[2]
HfScTeC | GGA-PBE | relaxed

Cell and atoms, written as CIF:
```
data_HfScTeC
_chemical_formula_sum 'Hf2 Sc2 Te2 C2'
_cell_length_a 3.5316
_cell_length_b 3.5316
_cell_length_c 13.2610
_cell_angle_alpha 90.00
_cell_angle_beta 90.00
_cell_angle_gamma 120.00
_space_group_name_H-M_alt 'P 63 m c'
_space_group_IT_number 186
_space_group_name_Hall 'P 6c -2c'
loop_
_atom_site_label
_atom_site_type_symbol
_atom_site_fract_x
_atom_site_fract_y
_atom_site_fract_z
Hf1 Hf 0.3333 0.6667 0.0000
Sc1 Sc 0.3333 0.6667 0.3227
Te1 Te 0.3333 0.6667 0.6599
C1 C 0.0000 0.0000 0.4165
```

Properties
Polymorph energy (0 for the lowest one): 0.0 kJ/mol of atoms